A plane-wave DFT calculation with GGA-PBE was carried out for a geometry-optimized Sm2Dy9Y structure.

Cell lengths 5.035, 5.035, 15.103 Å; angles 90.00, 90.00, 90.00 degrees
Positions (direct):
Sm: 0.000 0.000 0.333
Sm: 0.000 0.000 0.667
Dy: 0.500 0.500 0.000
Dy: 0.500 0.500 0.333
Dy: 0.500 0.500 0.667
Dy: 0.500 0.000 0.166
Dy: 0.500 0.000 0.500
Dy: 0.500 0.000 0.834
Dy: 0.000 0.500 0.166
Dy: 0.000 0.500 0.500
Dy: 0.000 0.500 0.834
Y: 0.000 0.000 0.000

Properties
Relative energy among the computed polymorphs, eV per atom: 0.0000
Symmetry: P4/mmm, No. 123
DFT formation energy, meV per atom: 21
D(E_F), states/eV/cell: 18.039

A plane-wave DFT calculation with GGA-PBE was carried out for a geometry-optimized Ti2ClO structure.

Cell lengths 4.104, 4.104, 4.104 Å; angles 60.00, 60.00, 60.00 degrees
Positions (direct):
Cl: 0.500 0.500 0.500
O: 0.000 0.000 0.000
Ti: 0.250 0.250 0.250
Ti: 0.750 0.750 0.750

Properties
Uncorrected formation energy, eV/atom: -0.833
Relative energy among the computed polymorphs, eV per atom: 0.4254
Symmetry: Fm-3m, No. 225
D(E_F), states/eV/cell: 8.958

A plane-wave DFT calculation with GGA-PBE was carried out for a geometry-optimized Li3SiRh structure.

Cell lengths 4.472, 4.472, 4.472 Å; angles 90.00, 90.00, 90.00 degrees
Positions (direct):
Si: 0.500 0.500 0.500
Rh: 0.000 0.000 0.000
Li: 0.000 0.500 0.000
Li: 0.000 0.000 0.500
Li: 0.500 0.000 0.000

Properties
Uncorrected formation energy, eV/atom: 0.533
Relative energy among the computed polymorphs, eV per atom: 0.0000
Symmetry: Pm-3m, No. 221
D(E_F), states/eV/cell: 1.991

A plane-wave DFT calculation with GGA-PBE was carried out for a geometry-optimized RbB2Pd structure.

Cell lengths 4.526, 4.526, 4.526 Å; angles 60.00, 60.00, 60.00 degrees
Positions (direct):
B: 0.250 0.250 0.250
B: 0.750 0.750 0.750
Rb: 0.000 0.000 0.000
Pd: 0.500 0.500 0.500

Properties
Relative energy among the computed polymorphs, eV per atom: 1.2385
Symmetry: Fm-3m, No. 225
DFT formation energy, meV per atom: 1849
D(E_F), states/eV/cell: 3.183

A plane-wave DFT calculation with GGA-PBE was carried out for a geometry-optimized Sm2SiH structure.

Cell lengths 4.345, 4.345, 7.768 Å; angles 73.76, 73.76, 60.00 degrees
Positions (direct):
H: 0.000 0.000 0.000
Si: 0.500 0.500 0.500
Sm: 0.100 0.100 0.699
Sm: 0.900 0.900 0.301

Properties
Relative energy among the computed polymorphs, eV per atom: 0.1266
Symmetry: R-3m, No. 166
D(E_F), states/eV/cell: 3.033

A plane-wave DFT calculation with GGA-PBE was carried out for a geometry-optimized PmHoPuPb structure.

Cell lengths 5.511, 5.511, 5.511 Å; angles 60.00, 60.00, 60.00 degrees
Each line ends with the local moment (μB).
Positions (direct):
Pb: 0.500 0.500 0.500  -0.02
Pm: 0.250 0.250 0.250  0.25
Ho: 0.000 0.000 0.000  0.56
Pu: 0.750 0.750 0.750  5.63

Properties
Symmetry: F-43m, No. 216
DFT formation energy, meV per atom: -5
D(E_F), states/eV/cell: 11.120

A plane-wave DFT calculation with GGA-PBE was carried out for a geometry-optimized Ti4MnNi structure.

Cell lengths 3.029, 3.029, 9.498 Å; angles 90.00, 90.00, 90.00 degrees
Each line ends with the local moment (μB).
Positions (direct):
Ti: 0.500 0.500 0.849  -0.03
Ti: 0.500 0.500 0.151  -0.03
Ti: 0.000 0.000 0.659  0.03
Ti: 0.000 0.000 0.341  0.03
Mn: 0.000 0.000 0.000  0.26
Ni: 0.500 0.500 0.500  0.00

Properties
Relative energy among the computed polymorphs, eV per atom: 0.0000
Symmetry: P4/mmm, No. 123
DFT formation energy, meV per atom: -207
D(E_F), states/eV/cell: 9.847

A plane-wave DFT calculation with GGA-PBE was carried out for a geometry-optimized BeAg2Te structure.

Cell lengths 5.191, 5.191, 5.191 Å; angles 132.10, 132.10, 70.07 degrees
Positions (direct):
Be: 0.500 0.500 0.000
Te: 0.750 0.250 0.500
Ag: 0.000 0.000 0.000
Ag: 0.250 0.750 0.500

Properties
Uncorrected formation energy, eV/atom: 0.411
Relative energy among the computed polymorphs, eV per atom: 0.2727
Symmetry: I-4m2, No. 119
D(E_F), states/eV/cell: 1.532

A plane-wave DFT calculation with GGA-PBE was carried out for a geometry-optimized NaHfAs2O8 structure.

Cell lengths 5.817, 5.817, 5.817 Å; angles 106.31, 106.31, 115.99 degrees
Each line ends with the local moment (μB).
Positions (direct):
Na: 0.250 0.750 0.500  0.00
Hf: 0.000 0.000 0.000  -0.02
As: 0.750 0.250 0.500  -0.01
As: 0.500 0.500 0.000  -0.02
O: 0.387 0.086 0.301  0.09
O: 0.309 0.488 0.180  0.14
O: 0.309 0.129 0.820  0.14
O: 0.785 0.086 0.699  0.09
O: 0.871 0.691 0.180  0.14
O: 0.914 0.215 0.301  0.09
O: 0.914 0.613 0.699  0.09
O: 0.512 0.691 0.820  0.14

Properties
Uncorrected formation energy, eV/atom: -1.699
Symmetry: I-4m2, No. 119
D(E_F), states/eV/cell: 8.084

A plane-wave DFT calculation with GGA-PBE was carried out for a geometry-optimized TiCu2Mo structure.

Cell lengths 4.315, 4.315, 4.315 Å; angles 60.00, 60.00, 60.00 degrees
Positions (direct):
Mo: 0.500 0.500 0.500
Cu: 0.250 0.250 0.250
Cu: 0.750 0.750 0.750
Ti: 0.000 0.000 0.000

Properties
Relative energy among the computed polymorphs, eV per atom: 0.0000
Symmetry: Fm-3m, No. 225
DFT formation energy, meV per atom: 195
D(E_F), states/eV/cell: 2.549